The following is a DFT calculation (PBEsol) of an optimized crystal structure of MnReNi.

Cell lengths 5.5398, 5.5398, 5.5398 Å; angles 90.00, 90.00, 90.00 degrees
Sites, in units of the cell vectors:
Mn  0.0000  0.0000  0.0000
Mn  0.0000  0.5000  0.5000
Mn  0.5000  0.0000  0.5000
Mn  0.5000  0.5000  0.0000
Re  0.2500  0.2500  0.2500
Re  0.2500  0.7500  0.7500
Re  0.7500  0.2500  0.7500
Re  0.7500  0.7500  0.2500
Ni  0.0000  0.0000  0.5000
Ni  0.0000  0.5000  0.0000
Ni  0.5000  0.0000  0.0000
Ni  0.5000  0.5000  0.5000

## Properties
Theoretical density ... 11.71 Mg/m³
Excess energy over the best structure of this formula in the dataset ... 553.7 meV per atom
Energy of formation from the pure elements ... 733.6 meV/atom
Fermi-level density of states ... 0.55 states/eV per atom
Total magnetization ... 0.00 μB per formula unit
Calculated volume ... 170.02 Å³/cell